## Rb5Au2BrO (PBE)

Data for a geometry-optimized Rb5Au2BrO structure.

a = 5.469 Å, b = 7.996 Å, c = 9.667 Å
α = 114.43°, β = 106.43°, γ = 90.00°
Fractional positions:
Rb  0.619  0.879  0.237
Rb  0.381  0.121  0.763
Rb  0.381  0.641  0.763
Rb  0.619  0.359  0.237
Rb  0.000  0.000  0.000
Au  0.209  0.209  0.418
Au  0.791  0.791  0.582
Br  0.000  0.500  0.000
O  0.500  0.000  0.000

Properties
Its formation energy (no corrections) is -18.84 kcal/mol of atoms. For the total energy, the calculation gives -2.8198 eV/atom. The crystal system is orthorhombic.



## CaMoIr2 (PBE)

Data for a geometry-optimized CaMoIr2 structure.

a = 2.945 Å, b = 2.945 Å, c = 7.949 Å
α = 90.00°, β = 90.00°, γ = 90.00°
Fractional positions:
Mo  0.500  0.500  0.250
Ir  0.000  0.000  0.034
Ir  0.000  0.000  0.466
Ca  0.500  0.500  0.750

Properties
As for the energy relative to the elements: -0.1650 eV per atom. For the total energy, the calculation gives -7.8037 eV/atom. The crystal system is tetragonal. As for the offset from the most stable computed form: 0.0 meV/atom.



## RbAl2C (PBE)

Data for a geometry-optimized RbAl2C structure.

a = 6.518 Å, b = 6.518 Å, c = 6.522 Å
α = 60.02°, β = 60.02°, γ = 90.00°
Fractional positions:
C  0.500  0.500  0.000
C  0.250  0.750  0.500
Al  0.377  0.125  0.250
Al  0.373  0.625  0.250
Al  0.375  0.623  0.750
Al  0.875  0.627  0.750
Rb  0.000  0.000  0.000
Rb  0.750  0.250  0.500

Properties
As for the energy relative to the elements: 0.6853 eV per atom. For the total energy, the calculation gives -3.7339 eV/atom. The crystal system is tetragonal.



## MnFe2Hg (PBE)

Data for a geometry-optimized MnFe2Hg structure.

a = 4.778 Å, b = 4.778 Å, c = 2.792 Å
α = 90.00°, β = 90.00°, γ = 111.12°
Each line ends with the local moment (μB).
Fractional positions:
Fe  0.000  0.000  0.000  2.67
Fe  0.500  0.500  0.000  2.67
Hg  0.500  0.000  0.500  -0.05
Mn  0.000  0.500  0.500  3.39

Properties
As for the energy relative to the elements: 0.4519 eV per atom. For the total energy, the calculation gives -6.1473 eV/atom. The crystal system is orthorhombic.



## SrSn3Se4 (PBE)

Data for a geometry-optimized SrSn3Se4 structure.

a = 4.335 Å, b = 7.518 Å, c = 7.518 Å
α = 70.59°, β = 89.99°, γ = 89.99°
Fractional positions:
Sr  0.500  0.500  0.000
Sn  0.500  0.000  0.500
Sn  0.000  0.000  0.000
Sn  0.000  0.500  0.500
Se  0.000  0.754  0.746
Se  0.500  0.752  0.252
Se  0.000  0.246  0.254
Se  0.500  0.248  0.748

Properties
Its formation energy (no corrections) is -18.91 kcal/mol of atoms. For the total energy, the calculation gives -4.2738 eV/atom. The crystal system is orthorhombic.



## DyCuAu (PBE)

Data for a geometry-optimized DyCuAu structure.

a = 3.431 Å, b = 4.506 Å, c = 4.506 Å
α = 120.00°, β = 90.00°, γ = 90.00°
Fractional positions:
Au  0.167  0.333  0.667
Cu  0.167  0.000  0.000
Dy  0.667  0.667  0.333

Properties
As for the energy relative to the elements: -0.5629 eV per atom. For the total energy, the calculation gives -4.5548 eV/atom. The crystal system is hexagonal. As for the offset from the most stable computed form: 0.0 meV/atom.



## KAg2Pd (PBE)

Data for a geometry-optimized KAg2Pd structure.

a = 4.696 Å, b = 6.122 Å, c = 7.605 Å
α = 90.00°, β = 90.00°, γ = 90.00°
Fractional positions:
K  0.500  0.893  0.000
K  0.000  0.107  0.500
Ag  0.000  0.598  0.687
Ag  0.500  0.402  0.813
Ag  0.000  0.598  0.313
Ag  0.500  0.402  0.187
Pd  0.500  0.627  0.500
Pd  0.000  0.373  0.000

Properties
As for the energy relative to the elements: 0.0194 eV per atom. For the total energy, the calculation gives -2.9788 eV/atom. The crystal system is orthorhombic. As for the offset from the most stable computed form: 5.7 meV/atom.



## CaB2Se2 (PBE)

Data for a geometry-optimized CaB2Se2 structure.

a = 7.730 Å, b = 7.730 Å, c = 3.283 Å
α = 90.00°, β = 90.00°, γ = 90.00°
Fractional positions:
Ca  0.000  0.000  0.000
Ca  0.500  0.500  0.000
B  0.257  0.757  0.500
B  0.757  0.743  0.500
B  0.743  0.243  0.500
B  0.243  0.257  0.500
Se  0.363  0.863  0.000
Se  0.863  0.637  0.000
Se  0.637  0.137  0.000
Se  0.137  0.363  0.000

Properties
Its formation energy (no corrections) is 10.54 kcal/mol of atoms. For the total energy, the calculation gives -4.0081 eV/atom. The crystal system is tetragonal. As for the offset from the most stable computed form: 0.0 meV/atom.



## CeZnCdCu (PBE)

Data for a geometry-optimized CeZnCdCu structure.

a = 4.833 Å, b = 4.833 Å, c = 4.833 Å
α = 60.00°, β = 60.00°, γ = 60.00°
Each line ends with the local moment (μB).
Fractional positions:
Zn  0.500  0.500  0.500  0.00
Cu  0.000  0.000  0.000  -0.01
Ce  0.250  0.250  0.250  0.40
Cd  0.750  0.750  0.750  0.00

Properties
As for the energy relative to the elements: -0.1981 eV per atom. For the total energy, the calculation gives -3.2529 eV/atom. The crystal system is cubic.



## PmAlPd4 (PBE)

Data for a geometry-optimized PmAlPd4 structure.

a = 3.934 Å, b = 7.018 Å, c = 7.803 Å
α = 90.00°, β = 90.00°, γ = 90.00°
Fractional positions:
Pm  0.000  0.645  0.750
Pm  0.000  0.355  0.250
Al  0.000  0.208  0.750
Al  0.000  0.792  0.250
Pd  0.000  0.000  0.500
Pd  0.000  0.000  0.000
Pd  0.500  0.956  0.750
Pd  0.500  0.044  0.250
Pd  0.500  0.693  0.056
Pd  0.500  0.307  0.944
Pd  0.500  0.693  0.444
Pd  0.500  0.307  0.556

Properties
As for the energy relative to the elements: -0.7612 eV per atom. For the total energy, the calculation gives -5.6386 eV/atom. The crystal system is orthorhombic. As for the offset from the most stable computed form: 0.0 meV/atom.



## U2CSe (PBE)

Data for a geometry-optimized U2CSe structure.

a = 3.664 Å, b = 3.664 Å, c = 6.896 Å
α = 74.59°, β = 74.59°, γ = 60.00°
Fractional positions:
U  0.105  0.105  0.686
U  0.228  0.228  0.316
C  0.499  0.499  0.504
Se  0.669  0.669  0.994

Properties
Its formation energy (no corrections) is -9.31 kcal/mol of atoms. For the total energy, the calculation gives -9.2250 eV/atom. The crystal system is trigonal.



## SrLiAu4 (PBE)

Data for a geometry-optimized SrLiAu4 structure.

a = 5.677 Å, b = 5.677 Å, c = 5.677 Å
α = 60.00°, β = 60.00°, γ = 60.00°
Fractional positions:
Au  0.127  0.624  0.624
Au  0.624  0.624  0.624
Au  0.624  0.127  0.624
Au  0.624  0.624  0.127
Li  0.250  0.250  0.250
Sr  0.000  0.000  0.000

Properties
As for the energy relative to the elements: -0.5058 eV per atom. For the total energy, the calculation gives -3.2900 eV/atom. The crystal system is cubic. As for the offset from the most stable computed form: 0.0 meV/atom.